RbBe2AuF8, optimized geometry, DFT PBE; E_tot = -4.5660 eV per atom; space group = No. 155; total magnetic moment = 2.0 μB/f.u.
1.0
2.547 1.471 8.456
-2.547 1.471 8.456
0.000 -2.941 8.456
Rb Be Au F
1 2 1 8
Direct
0.000 0.000 0.000
0.244 0.244 0.244
0.756 0.756 0.756
0.500 0.500 0.500
0.093 0.519 0.722
0.278 0.481 0.907
0.303 0.303 0.303
0.481 0.907 0.278
0.519 0.722 0.093
0.697 0.697 0.697
0.722 0.093 0.519
0.907 0.278 0.481